# 1
Compound: BaMgTl2Cl6
Source: the Alexandria database
Functional: PBE
Structure: relaxed

Lattice parameters (Å, degrees): 7.390 7.836 13.000 90.00 124.37 90.00
Atoms (fractional coordinates):
Ba: 0.000 0.000 0.000
Ba: 0.000 0.500 0.500
Mg: 0.500 0.000 0.500
Mg: 0.500 0.500 0.000
Tl: 0.270 0.066 0.748
Tl: 0.270 0.434 0.248
Tl: 0.730 0.566 0.752
Tl: 0.730 0.934 0.252
Cl: 0.172 0.035 0.276
Cl: 0.172 0.465 0.776
Cl: 0.267 0.675 0.048
Cl: 0.267 0.825 0.548
Cl: 0.388 0.225 0.058
Cl: 0.388 0.275 0.558
Cl: 0.612 0.725 0.442
Cl: 0.612 0.775 0.942
Cl: 0.733 0.175 0.452
Cl: 0.733 0.325 0.952
Cl: 0.828 0.535 0.224
Cl: 0.828 0.965 0.724

Raw formation energy = -1.694 eV/atom
SG = P2_1/c (14)

=====

# 2
Compound: BaMg2VCl8
Source: the Alexandria database
Functional: PBE
Structure: relaxed

Lattice parameters (Å, degrees): 6.107 8.030 6.295 90.00 91.92 90.00
Atoms (fractional coordinates):
Ba: 0.000 0.000 0.000
Mg: 0.500 0.266 0.500
Mg: 0.500 0.734 0.500
V: 0.000 0.500 0.000
Cl: 0.248 0.292 0.178
Cl: 0.248 0.708 0.178
Cl: 0.265 0.500 0.675
Cl: 0.291 0.000 0.626
Cl: 0.709 0.000 0.374
Cl: 0.735 0.500 0.325
Cl: 0.752 0.292 0.822
Cl: 0.752 0.708 0.822

Raw formation energy = -1.729 eV/atom
SG = P2/m (10)

=====

# 3
Compound: BaMg2ZnCl8
Source: the Alexandria database
Functional: PBE
Structure: relaxed

Lattice parameters (Å, degrees): 6.155 8.044 6.358 90.00 93.52 90.00
Atoms (fractional coordinates):
Ba: 0.000 0.000 0.000
Mg: 0.500 0.270 0.500
Mg: 0.500 0.730 0.500
Zn: 0.000 0.500 0.000
Cl: 0.244 0.294 0.170
Cl: 0.244 0.706 0.170
Cl: 0.275 0.500 0.659
Cl: 0.298 0.000 0.632
Cl: 0.702 0.000 0.368
Cl: 0.725 0.500 0.341
Cl: 0.756 0.294 0.830
Cl: 0.756 0.706 0.830

Raw formation energy = -1.713 eV/atom
SG = P2/m (10)

=====

# 4
Compound: BaMgZn2Cl8
Source: the Alexandria database
Functional: PBE
Structure: relaxed

Lattice parameters (Å, degrees): 6.370 6.370 8.856 90.00 90.00 120.00
Atoms (fractional coordinates):
Ba: 0.000 0.000 0.000
Mg: 0.000 0.000 0.500
Zn: 0.333 0.667 0.738
Zn: 0.667 0.333 0.262
Cl: 0.003 0.694 0.323
Cl: 0.306 0.310 0.323
Cl: 0.310 0.003 0.677
Cl: 0.333 0.667 0.995
Cl: 0.667 0.333 0.005
Cl: 0.690 0.997 0.323
Cl: 0.694 0.690 0.677
Cl: 0.997 0.306 0.677

Raw formation energy = -1.626 eV/atom
SG = P-3 (147)

=====

# 5
Compound: BaMg2ZnCl
Source: the Alexandria database
Functional: PBE
Structure: relaxed

Lattice parameters (Å, degrees): 7.396 7.396 5.881 90.00 90.00 90.00
Atoms (fractional coordinates):
Ba: 0.000 0.000 0.000
Mg: 0.000 0.500 0.000
Mg: 0.500 0.000 0.000
Zn: 0.500 0.500 0.500
Cl: 0.000 0.000 0.500

Raw formation energy = 0.083 eV/atom
SG = P4/mmm (123)

=====

# 6
Compound: BaMnCl2
Source: the Alexandria database
Functional: PBE
Structure: relaxed

Lattice parameters (Å, degrees): 8.899 8.899 8.899 29.67 29.67 29.67
Atoms (fractional coordinates):
Ba: 0.000 0.000 0.000
Mn: 0.770 0.770 0.770
Cl: 0.273 0.273 0.273
Cl: 0.464 0.464 0.464

Energy above the lowest structure with this stoichiometry = 82 meV/atom
Raw formation energy = -0.899 eV/atom
SG = R3m (160)

=====

# 7
Compound: Ba2MnCl
Source: the Alexandria database
Functional: PBE
Structure: relaxed

Lattice parameters (Å, degrees): 5.788 5.788 5.788 60.00 60.00 60.00
Atoms (fractional coordinates):
Ba: 0.000 0.000 0.000
Ba: 0.250 0.250 0.250
Mn: 0.750 0.750 0.750
Cl: 0.500 0.500 0.500

Energy above the lowest structure with this stoichiometry = 647 meV/atom
Raw formation energy = 0.135 eV/atom
SG = F-43m (216)

=====

# 8
Compound: Ba2MnCl
Source: the Alexandria database
Functional: PBE
Structure: relaxed

Lattice parameters (Å, degrees): 6.316 6.316 6.316 135.62 111.05 85.76
Atoms (fractional coordinates):
Ba: 0.227 0.227 0.000
Ba: 0.773 0.773 0.000
Mn: 0.500 0.000 0.500
Cl: 0.000 0.500 0.500

Energy above the lowest structure with this stoichiometry = 228 meV/atom
Raw formation energy = -0.285 eV/atom
SG = Immm (71)

=====

# 9
Compound: BaMnCl2
Source: the Alexandria database
Functional: PBE
Structure: relaxed

Lattice parameters (Å, degrees): 5.487 5.487 5.487 60.00 60.00 60.00
Atoms (fractional coordinates):
Ba: 0.000 0.000 0.000
Mn: 0.250 0.250 0.250
Cl: 0.500 0.500 0.500
Cl: 0.750 0.750 0.750

Energy above the lowest structure with this stoichiometry = 386 meV/atom
Raw formation energy = -0.596 eV/atom
SG = F-43m (216)

=====

# 10
Compound: Ba2MnCl
Source: the Alexandria database
Functional: PBE
Structure: relaxed

Lattice parameters (Å, degrees): 3.954 3.954 8.735 90.00 90.00 90.00
Atoms (fractional coordinates):
Ba: 0.000 0.000 0.241
Ba: 0.000 0.000 0.759
Mn: 0.500 0.500 0.000
Cl: 0.500 0.500 0.500

Energy above the lowest structure with this stoichiometry = 46 meV/atom
Raw formation energy = -0.466 eV/atom
SG = P4/mmm (123)

=====

# 11
Compound: BaMnCl2
Source: the Alexandria database
Functional: PBE
Structure: relaxed

Lattice parameters (Å, degrees): 5.396 5.396 5.396 60.00 60.00 60.00
Atoms (fractional coordinates):
Ba: 0.000 0.000 0.000
Mn: 0.500 0.500 0.500
Cl: 0.250 0.250 0.250
Cl: 0.750 0.750 0.750

Energy above the lowest structure with this stoichiometry = 67 meV/atom
Raw formation energy = -0.914 eV/atom
SG = Fm-3m (225)

=====

# 12
Compound: BaMn3Cl
Source: the Alexandria database
Functional: PBE
Structure: relaxed

Lattice parameters (Å, degrees): 6.458 6.458 6.458 90.00 90.00 90.00
Atoms (fractional coordinates):
Ba: 0.000 0.000 0.000
Mn: 0.000 0.000 0.500
Mn: 0.000 0.500 0.000
Mn: 0.500 0.000 0.000
Cl: 0.500 0.500 0.500

Energy above the lowest structure with this stoichiometry = 979 meV/atom
Raw formation energy = 1.713 eV/atom
SG = Pm-3m (221)

=====

# 13
Compound: BaMnCl2
Source: the Alexandria database
Functional: PBE
Structure: relaxed

Lattice parameters (Å, degrees): 7.510 7.510 7.510 149.37 141.89 49.66
Atoms (fractional coordinates):
Ba: 0.000 0.000 0.000
Mn: 0.757 0.257 0.500
Cl: 0.176 0.676 0.500
Cl: 0.471 0.471 0.000

Energy above the lowest structure with this stoichiometry = 69 meV/atom
Raw formation energy = -0.912 eV/atom
SG = Imm2 (44)

=====

# 14
Compound: BaMnCl2
Source: the Alexandria database
Functional: PBE
Structure: relaxed

Lattice parameters (Å, degrees): 5.237 5.237 6.418 95.30 95.30 53.16
Atoms (fractional coordinates):
Ba: 0.000 0.000 0.000
Mn: 0.500 0.500 0.500
Cl: 0.306 0.306 0.803
Cl: 0.694 0.694 0.197

Energy above the lowest structure with this stoichiometry = 44 meV/atom
Raw formation energy = -0.938 eV/atom
SG = C2/m (12)

=====

# 15
Compound: BaMn2Cl8
Source: the Alexandria database
Functional: PBE
Structure: relaxed

Lattice parameters (Å, degrees): 8.319 8.319 8.319 129.60 129.60 74.05
Atoms (fractional coordinates):
Ba: 0.000 0.000 0.000
Mn: 0.250 0.750 0.500
Mn: 0.750 0.250 0.500
Cl: 0.032 0.526 0.820
Cl: 0.212 0.032 0.507
Cl: 0.294 0.474 0.507
Cl: 0.474 0.968 0.180
Cl: 0.526 0.706 0.493
Cl: 0.706 0.212 0.180
Cl: 0.788 0.294 0.820
Cl: 0.968 0.788 0.493

Energy above the lowest structure with this stoichiometry = 0 meV/atom
Raw formation energy = -1.326 eV/atom
SG = I422 (97)

=====

# 16
Compound: Ba4Mn6Cl19
Source: the Alexandria database
Functional: PBE
Structure: relaxed

Lattice parameters (Å, degrees): 9.918 9.918 9.918 109.47 109.47 109.47
Atoms (fractional coordinates):
Ba: 0.000 0.000 0.665
Ba: 0.000 0.665 0.000
Ba: 0.335 0.335 0.335
Ba: 0.665 0.000 0.000
Mn: 0.156 0.656 0.500
Mn: 0.344 0.500 0.844
Mn: 0.500 0.156 0.656
Mn: 0.500 0.844 0.344
Mn: 0.656 0.500 0.156
Mn: 0.844 0.344 0.500
Cl: 0.000 0.000 0.000
Cl: 0.000 0.340 0.340
Cl: 0.000 0.660 0.660
Cl: 0.030 0.366 0.760
Cl: 0.240 0.606 0.270
Cl: 0.270 0.240 0.606
Cl: 0.336 0.970 0.730
Cl: 0.340 0.000 0.340
Cl: 0.340 0.340 0.000
Cl: 0.366 0.760 0.030
Cl: 0.394 0.634 0.664
Cl: 0.606 0.270 0.240
Cl: 0.634 0.664 0.394
Cl: 0.660 0.000 0.660
Cl: 0.660 0.660 0.000
Cl: 0.664 0.394 0.634
Cl: 0.730 0.336 0.970
Cl: 0.760 0.030 0.366
Cl: 0.970 0.730 0.336

Raw formation energy = -1.614 eV/atom
SG = I23 (197)

=====

# 17
Compound: BaMnCl2
Source: the Alexandria database
Functional: PBE
Structure: relaxed

Lattice parameters (Å, degrees): 5.069 5.069 4.242 90.00 90.00 90.00
Atoms (fractional coordinates):
Ba: 0.000 0.000 0.000
Mn: 0.500 0.500 0.000
Cl: 0.000 0.500 0.500
Cl: 0.500 0.000 0.500

Energy above the lowest structure with this stoichiometry = 73 meV/atom
Raw formation energy = -0.909 eV/atom
SG = P4/mmm (123)

=====

# 18
Compound: BaMnCl2
Source: the Alexandria database
Functional: PBE
Structure: relaxed

Lattice parameters (Å, degrees): 3.818 4.264 6.735 90.00 90.00 90.00
Atoms (fractional coordinates):
Ba: 0.000 0.000 0.000
Mn: 0.500 0.000 0.500
Cl: 0.500 0.500 0.239
Cl: 0.500 0.500 0.761

Energy above the lowest structure with this stoichiometry = 58 meV/atom
Raw formation energy = -0.923 eV/atom
SG = Pmmm (47)

=====

# 19
Compound: BaMn3Cl
Source: the Alexandria database
Functional: PBE
Structure: relaxed

Lattice parameters (Å, degrees): 4.820 4.820 4.820 90.00 90.00 90.00
Atoms (fractional coordinates):
Ba: 0.000 0.000 0.000
Mn: 0.000 0.500 0.500
Mn: 0.500 0.000 0.500
Mn: 0.500 0.500 0.000
Cl: 0.500 0.500 0.500

Energy above the lowest structure with this stoichiometry = 0 meV/atom
Raw formation energy = 0.734 eV/atom
SG = Pm-3m (221)

=====

# 20
Compound: BaMnCl6
Source: the Alexandria database
Functional: PBE
Structure: relaxed

Lattice parameters (Å, degrees): 6.615 6.615 10.491 90.98 90.98 86.16
Atoms (fractional coordinates):
Ba: 0.030 0.970 0.750
Ba: 0.970 0.030 0.250
Mn: 0.000 0.500 0.500
Mn: 0.500 0.000 0.000
Cl: 0.069 0.532 0.288
Cl: 0.199 0.200 0.503
Cl: 0.200 0.199 0.003
Cl: 0.274 0.674 0.555
Cl: 0.326 0.726 0.945
Cl: 0.468 0.931 0.212
Cl: 0.532 0.069 0.788
Cl: 0.674 0.274 0.055
Cl: 0.726 0.326 0.445
Cl: 0.800 0.801 0.997
Cl: 0.801 0.800 0.497
Cl: 0.931 0.468 0.712

Energy above the lowest structure with this stoichiometry = 0 meV/atom
Raw formation energy = -1.488 eV/atom
SG = C2/c (15)

=====

# 21
Compound: BaMnCl3
Source: the Alexandria database
Functional: PBE
Structure: relaxed

Lattice parameters (Å, degrees): 5.990 5.990 5.990 90.00 90.00 90.00
Atoms (fractional coordinates):
Ba: 0.000 0.000 0.000
Mn: 0.500 0.500 0.500
Cl: 0.000 0.000 0.500
Cl: 0.000 0.500 0.000
Cl: 0.500 0.000 0.000

Energy above the lowest structure with this stoichiometry = 368 meV/atom
Raw formation energy = -1.032 eV/atom
SG = Pm-3m (221)

=====

# 22
Compound: Ba2MnCl2
Source: the Alexandria database
Functional: PBE
Structure: relaxed

Lattice parameters (Å, degrees): 6.142 6.142 6.142 117.18 117.18 94.95
Atoms (fractional coordinates):
Ba: 0.250 0.750 0.500
Ba: 0.750 0.250 0.500
Mn: 0.000 0.000 0.000
Cl: 0.272 0.272 0.000
Cl: 0.728 0.728 0.000

Energy above the lowest structure with this stoichiometry = 125 meV/atom
Raw formation energy = -0.869 eV/atom
SG = I4/mmm (139)

=====

# 23
Compound: Ba2MnCl6
Source: the Alexandria database
Functional: PBE
Structure: relaxed

Lattice parameters (Å, degrees): 6.778 6.778 13.305 90.00 90.00 90.00
Atoms (fractional coordinates):
Ba: 0.000 0.000 0.166
Ba: 0.000 0.000 0.834
Ba: 0.500 0.500 0.334
Ba: 0.500 0.500 0.666
Mn: 0.000 0.000 0.500
Mn: 0.500 0.500 0.000
Cl: 0.181 0.181 0.359
Cl: 0.181 0.181 0.641
Cl: 0.227 0.227 0.000
Cl: 0.273 0.727 0.500
Cl: 0.319 0.681 0.141
Cl: 0.319 0.681 0.859
Cl: 0.681 0.319 0.141
Cl: 0.681 0.319 0.859
Cl: 0.727 0.273 0.500
Cl: 0.773 0.773 0.000
Cl: 0.819 0.819 0.359
Cl: 0.819 0.819 0.641

Energy above the lowest structure with this stoichiometry = 77 meV/atom
Raw formation energy = -1.982 eV/atom
SG = P4_2/mnm (136)

=====

# 24
Compound: Ba2MnCl
Source: the Alexandria database
Functional: PBE
Structure: relaxed

Lattice parameters (Å, degrees): 4.196 4.058 9.133 90.00 90.45 90.00
Atoms (fractional coordinates):
Ba: 0.004 0.000 0.228
Ba: 0.996 0.000 0.772
Mn: 0.500 0.500 0.000
Cl: 0.000 0.500 0.500

Energy above the lowest structure with this stoichiometry = 23 meV/atom
Raw formation energy = -0.489 eV/atom
SG = P2/m (10)

=====

Short version: total moment = 0.0, 3.0, 0.0, 0.0, 0.0, 5.0, 2.5, 3.8, 5.0, 3.1, 5.0, 14.0, 5.0, 5.0, 8.1, 29.0, 5.0, 4.6, 10.1, 3.1, 6.0, 2.0, 5.0, 3.1 μB/f.u., in the order given.